VASP calculation (meta-GGA SCAN) on a crystal of CrRh2 relaxed with PBEsol.

E_tot: -28.760 eV/atom
Formation enthalpy at 0 K: -0.118 eV/atom

Lattice parameters (Å, degrees): 4.585 4.176 7.944 90.00 90.00 90.00
Space group Pnma (No. 62)
One atom of each set of equivalent atoms:
1 Cr 0.172 0.250 0.162 (multiplicity 4)
2 Rh 0.153 0.250 0.829 (multiplicity 4)
3 Rh 0.168 0.250 0.493 (multiplicity 4)